# 1
VASP calculation (GGA-PBE) on a geometry-optimized K2MgGaRe structure.

Cell: 6.2963 6.2963 5.1474 Å, 90.00 90.00 90.00°
Space group P4/mmm (No. 123)
Symmetry-distinct sites (fractional):
K  0.0000  0.5000  0.0000 (multiplicity 2)
Mg  0.0000  0.0000  0.5000 (multiplicity 1)
Ga  0.0000  0.0000  0.0000 (multiplicity 1)
Re  0.5000  0.5000  0.5000 (multiplicity 1)

Results
total magnetic moment: 4.3 μB per cell
D(E_F): 4.4 states/eV/f.u.
energy relative to the elements: 1.461 eV per atom
E_tot: -11.96 eV/cell

***

# 2
VASP calculation (GGA-PBE) on a geometry-optimized Ho8SbS6 structure.

Cell: 10.1131 10.1131 3.9181 Å, 90.00 90.00 120.00°
Space group P-3 (No. 147)
Symmetry-distinct sites (fractional):
Ho  0.0354  0.3356  0.2458 (multiplicity 6)
Ho  0.3333  0.6667  0.7520 (multiplicity 2)
Sb  0.0000  0.0000  0.0000 (multiplicity 1)
S  0.1355  0.6527  0.2514 (multiplicity 6)

Results
total magnetic moment: 0.0 μB per cell
D(E_F): 7.3 states/eV/f.u.
E_tot: -88.80 eV/cell

***

Number 1: mass density 2.917 Mg/m³. Number 2: mass density 7.817 Mg/m³.